Here is a relaxed Pu6Ge crystal from the Alexandria database. Energies are from GGA-PBE.

Structure (POSCAR):
```
Pu6Ge
1.0
5.791 0.000 0.000
-1.930 5.460 0.000
-1.930 -2.730 4.728
Pu Ge
6 1
Direct
0.250 0.750 0.500 Pu
0.500 0.750 0.250 Pu
0.250 0.500 0.750 Pu
0.750 0.250 0.500 Pu
0.500 0.250 0.750 Pu
0.750 0.500 0.250 Pu
0.000 0.000 0.000 Ge
```

Results
The calculation puts the total magnetization at 0.0 μB per formula unit. As for the density: 17.1 g/cm3. As for the energy of formation: 438 meV per atom. The value obtained for the electronic total energy is -12.507 eV/atom. The space-group type is No. 229.